Record 1
{"formula": "MnAg2Au6", "functional": "PBE", "state": "optimized geometry", "spacegroup": "C2/m, No. 12", "m_tot_mub_per_fu": 4.20, "relative_energy_ev_per_fu": 0.000, "dos_at_fermi_per_ev_fu": 2.2, "delta_e_f_ev_per_atom": -0.06, "cell": [[4.651, -2.053, 0.000], [4.651, 2.053, 0.000], [-2.770, 0.000, 8.318]], "species": ["Mn", "Ag", "Ag", "Au", "Au", "Au", "Au", "Au", "Au"], "fractional_positions": [[0.000, 0.000, 0.000], [0.333, 0.333, 0.446], [0.667, 0.667, 0.554], [0.003, 0.003, 0.671], [0.331, 0.331, 0.108], [0.341, 0.341, 0.783], [0.659, 0.659, 0.217], [0.669, 0.669, 0.892], [0.997, 0.997, 0.329]]}

Record 2
{"formula": "MnAg2Au8", "functional": "PBE", "state": "optimized geometry", "spacegroup": "C2/m, No. 12", "m_tot_mub_per_fu": 4.27, "relative_energy_ev_per_fu": 0.000, "dos_at_fermi_per_ev_fu": 3.8, "delta_e_f_ev_per_atom": -0.05, "cell": [[7.462, -2.071, 0.000], [7.462, 2.071, 0.000], [-1.701, 0.000, 6.312]], "species": ["Mn", "Ag", "Ag", "Au", "Au", "Au", "Au", "Au", "Au", "Au", "Au"], "fractional_positions": [[0.000, 0.000, 0.000], [0.275, 0.275, 0.366], [0.725, 0.725, 0.634], [0.090, 0.090, 0.446], [0.180, 0.180, 0.911], [0.365, 0.365, 0.822], [0.456, 0.456, 0.269], [0.544, 0.544, 0.731], [0.635, 0.635, 0.178], [0.820, 0.820, 0.089], [0.910, 0.910, 0.554]]}

Record 3
{"formula": "Mn2AgAu2", "functional": "PBE", "state": "optimized geometry", "spacegroup": "P4/mbm, No. 127", "m_tot_mub_per_fu": 8.40, "dos_at_fermi_per_ev_fu": 3.3, "delta_e_f_ev_per_atom": 0.13, "cell": [[7.688, 0.000, 0.000], [0.000, 7.688, 0.000], [0.000, 0.000, 2.991]], "species": ["Mn", "Mn", "Mn", "Mn", "Ag", "Ag", "Au", "Au", "Au", "Au"], "fractional_positions": [[0.141, 0.359, 0.000], [0.359, 0.859, 0.000], [0.641, 0.141, 0.000], [0.859, 0.641, 0.000], [0.000, 0.000, 0.000], [0.500, 0.500, 0.000], [0.155, 0.655, 0.500], [0.345, 0.155, 0.500], [0.655, 0.845, 0.500], [0.845, 0.345, 0.500]]}

Record 4
{"formula": "Mn2AgAu", "functional": "PBE", "state": "optimized geometry", "spacegroup": "F-43m, No. 216", "m_tot_mub_per_fu": 8.05, "dos_at_fermi_per_ev_fu": 0.9, "delta_e_f_ev_per_atom": 0.22, "cell": [[0.000, 3.204, 3.204], [3.204, 0.000, 3.204], [3.204, 3.204, 0.000]], "species": ["Mn", "Mn", "Ag", "Au"], "fractional_positions": [[0.000, 0.000, 0.000], [0.250, 0.250, 0.250], [0.750, 0.750, 0.750], [0.500, 0.500, 0.500]]}

Record 5
{"formula": "MnAg6Au12", "functional": "PBE", "state": "optimized geometry", "spacegroup": "R-3, No. 148", "m_tot_mub_per_fu": 4.12, "dos_at_fermi_per_ev_fu": 7.8, "delta_e_f_ev_per_atom": 0.04, "cell": [[5.047, 2.914, 3.962], [-5.047, 2.914, 3.962], [0.000, -5.828, 3.962]], "species": ["Mn", "Ag", "Ag", "Ag", "Ag", "Ag", "Ag", "Au", "Au", "Au", "Au", "Au", "Au", "Au", "Au", "Au", "Au", "Au", "Au"], "fractional_positions": [[0.000, 0.000, 0.000], [0.114, 0.272, 0.735], [0.265, 0.886, 0.728], [0.272, 0.735, 0.114], [0.728, 0.265, 0.886], [0.735, 0.114, 0.272], [0.886, 0.728, 0.265], [0.043, 0.368, 0.145], [0.145, 0.043, 0.368], [0.201, 0.556, 0.471], [0.368, 0.145, 0.043], [0.444, 0.529, 0.799], [0.471, 0.201, 0.556], [0.529, 0.799, 0.444], [0.556, 0.471, 0.201], [0.632, 0.855, 0.957], [0.799, 0.444, 0.529], [0.855, 0.957, 0.632], [0.957, 0.632, 0.855]]}

Record 6
{"formula": "MnAg2Au4", "functional": "PBE", "state": "optimized geometry", "spacegroup": "Cmmm, No. 65", "m_tot_mub_per_fu": 4.20, "dos_at_fermi_per_ev_fu": 2.9, "delta_e_f_ev_per_atom": 0.07, "cell": [[2.421, -9.261, 0.000], [2.421, 9.261, 0.000], [0.000, 0.000, 2.866]], "species": ["Mn", "Ag", "Ag", "Au", "Au", "Au", "Au"], "fractional_positions": [[0.000, 0.000, 0.000], [0.286, 0.714, 0.500], [0.714, 0.286, 0.500], [0.129, 0.871, 0.500], [0.424, 0.576, 0.000], [0.576, 0.424, 0.000], [0.871, 0.129, 0.500]]}

Record 7
{"formula": "Mn2AgAu8", "functional": "PBE", "state": "optimized geometry", "spacegroup": "C2/m, No. 12", "m_tot_mub_per_fu": 0.74, "relative_energy_ev_per_fu": 1.933, "dos_at_fermi_per_ev_fu": 5.2, "delta_e_f_ev_per_atom": 0.13, "cell": [[9.449, -1.451, 0.000], [9.449, 1.451, 0.000], [-2.855, 0.000, 6.799]], "species": ["Mn", "Mn", "Ag", "Au", "Au", "Au", "Au", "Au", "Au", "Au", "Au"], "fractional_positions": [[0.233, 0.233, 0.391], [0.767, 0.767, 0.609], [0.500, 0.500, 0.500], [0.045, 0.045, 0.875], [0.151, 0.151, 0.656], [0.311, 0.311, 0.967], [0.400, 0.400, 0.727], [0.600, 0.600, 0.273], [0.689, 0.689, 0.033], [0.849, 0.849, 0.344], [0.955, 0.955, 0.125]]}

Record 8
{"formula": "MnAg2Au2", "functional": "PBE", "state": "optimized geometry", "spacegroup": "P4/mbm, No. 127", "m_tot_mub_per_fu": 4.36, "relative_energy_ev_per_fu": 0.000, "dos_at_fermi_per_ev_fu": 1.9, "delta_e_f_ev_per_atom": 0.15, "cell": [[6.924, 0.000, 0.000], [0.000, 6.924, 0.000], [0.000, 0.000, 3.980]], "species": ["Mn", "Mn", "Ag", "Ag", "Ag", "Ag", "Au", "Au", "Au", "Au"], "fractional_positions": [[0.000, 0.000, 0.000], [0.500, 0.500, 0.000], [0.161, 0.339, 0.500], [0.339, 0.839, 0.500], [0.661, 0.161, 0.500], [0.839, 0.661, 0.500], [0.141, 0.641, 0.000], [0.359, 0.141, 0.000], [0.641, 0.859, 0.000], [0.859, 0.359, 0.000]]}

Record 9
{"formula": "Mn2AgAu6", "functional": "PBE", "state": "optimized geometry", "spacegroup": "C2/m, No. 12", "m_tot_mub_per_fu": 8.52, "dos_at_fermi_per_ev_fu": 3.1, "delta_e_f_ev_per_atom": -0.03, "cell": [[6.265, -1.985, 0.000], [6.265, 1.985, 0.000], [-2.201, 0.000, 6.287]], "species": ["Mn", "Mn", "Ag", "Au", "Au", "Au", "Au", "Au", "Au"], "fractional_positions": [[0.060, 0.060, 0.336], [0.940, 0.940, 0.664], [0.500, 0.500, 0.000], [0.162, 0.162, 0.999], [0.280, 0.280, 0.665], [0.396, 0.396, 0.338], [0.604, 0.604, 0.662], [0.720, 0.720, 0.335], [0.838, 0.838, 0.001]]}

Record 10
{"formula": "MnAg2Au5", "functional": "PBE", "state": "optimized geometry", "spacegroup": "I4/mmm, No. 139", "m_tot_mub_per_fu": 4.36, "relative_energy_ev_per_fu": 0.000, "dos_at_fermi_per_ev_fu": 2.0, "delta_e_f_ev_per_atom": -0.05, "cell": [[-2.070, 2.070, 8.219], [2.070, -2.070, 8.219], [2.070, 2.070, -8.219]], "species": ["Mn", "Ag", "Ag", "Au", "Au", "Au", "Au", "Au"], "fractional_positions": [[0.000, 0.000, 0.000], [0.251, 0.251, 0.000], [0.749, 0.749, 0.000], [0.122, 0.622, 0.500], [0.378, 0.878, 0.500], [0.500, 0.500, 0.000], [0.622, 0.122, 0.500], [0.878, 0.378, 0.500]]}

Record 11
{"formula": "MnAg2Au8", "functional": "PBE", "state": "optimized geometry", "spacegroup": "P4/mmm, No. 123", "m_tot_mub_per_fu": 4.31, "relative_energy_ev_per_fu": 0.771, "dos_at_fermi_per_ev_fu": 4.0, "delta_e_f_ev_per_atom": 0.02, "cell": [[4.094, 0.000, 0.000], [0.000, 4.094, 0.000], [0.000, 0.000, 12.119]], "species": ["Mn", "Ag", "Ag", "Au", "Au", "Au", "Au", "Au", "Au", "Au", "Au"], "fractional_positions": [[0.000, 0.000, 0.000], [0.000, 0.000, 0.324], [0.000, 0.000, 0.676], [0.000, 0.500, 0.145], [0.000, 0.500, 0.500], [0.000, 0.500, 0.855], [0.500, 0.000, 0.145], [0.500, 0.000, 0.500], [0.500, 0.000, 0.855], [0.500, 0.500, 0.325], [0.500, 0.500, 0.675]]}

Record 12
{"formula": "MnAg3Au", "functional": "PBE", "state": "optimized geometry", "spacegroup": "Pm-3m, No. 221", "m_tot_mub_per_fu": 4.83, "relative_energy_ev_per_fu": 0.000, "dos_at_fermi_per_ev_fu": 3.0, "delta_e_f_ev_per_atom": 0.91, "cell": [[5.120, 0.000, 0.000], [0.000, 5.120, 0.000], [0.000, 0.000, 5.120]], "species": ["Mn", "Ag", "Ag", "Ag", "Au"], "fractional_positions": [[0.000, 0.000, 0.000], [0.000, 0.500, 0.500], [0.500, 0.000, 0.500], [0.500, 0.500, 0.000], [0.500, 0.500, 0.500]]}